The following is a PBE-GGA calculation of crystalline Pm2Ge3AsPd4 at its relaxed geometry, from the Alexandria database.

Cell: 4.3765 4.3765 10.0923 Å, 90.00 90.00 90.00°
Closest atoms and distances in Å follow each position.
Element x y z (fractional)
Pm: 0.0000 0.5000 0.7496  8 Pd 3.33-3.34, 6 Ge 3.33-3.34, 2 As 3.34
Pm: 0.5000 0.0000 0.2504  8 Pd 3.33-3.34, 6 Ge 3.33-3.34, 2 As 3.34
Pd: 0.0000 0.0000 0.0000  4 Ge 2.54
Pd: 0.5000 0.0000 0.6284  3 Ge 2.46-2.54, 2 As 2.54
Pd: 0.0000 0.5000 0.3716  3 Ge 2.46-2.54, 2 As 2.54
Pd: 0.5000 0.5000 0.0000  4 Ge 2.54
Ge: 0.5000 0.0000 0.8717  5 Pd 2.46-2.54
Ge: 0.0000 0.5000 0.1283  5 Pd 2.46-2.54
Ge: 0.0000 0.0000 0.5000  4 Pd 2.54
As: 0.5000 0.5000 0.5000  4 Pd 2.54

Summary:
SG = P-4m2 (115)
DOS(E_F) = 6.404 states/eV/cell
Calculated formation energy = -815 meV per atom
E_tot = -5.6919 eV/atom